*1*
First-principles (GGA-PBE) data for crystalline KTe2 at its relaxed geometry, as listed in Alexandria.

Lattice parameters (Å, degrees): 11.1838 5.7913 8.3234 90.00 103.82 90.00
Space group C2/m (No. 12)
Unique sites:
1 K 0.0667 0.0000 0.2867 [4 per cell]
2 Te 0.1132 0.5000 0.6483 [4 per cell]
3 Te 0.2108 0.5000 0.9985 [4 per cell]

DOS(E_F) = 0.290 states/eV/atom
Mass density = 3.7 g cm⁻³
Total moment = 0.00 μB/f.u.

*2*
First-principles (GGA-PBE) data for crystalline KTe2 at its relaxed geometry, as listed in Alexandria.

Lattice parameters (Å, degrees): 18.1394 3.5038 7.4727 90.00 93.14 90.00
Space group C2/m (No. 12)
Unique sites:
1 K 0.1138 0.0000 0.2509 [4 per cell]
2 Te 0.0606 0.5000 0.8376 [4 per cell]
3 Te 0.1891 0.5000 0.6382 [4 per cell]

DOS(E_F) = 0.086 states/eV/atom
Mass density = 4.1 g cm⁻³
Total moment = 0.00 μB/f.u.

Out of the structures above, which one is the most stable? Solution: *1*.